Density functional theory data (PBE-GGA) for a relaxed Co2IrRh crystal.

Summary:
**DFT formation energy**: 94 meV/atom
**Total magnetization**: 3.42 Bohr magnetons per cell
**Space group**: R3m (160)

Cell: 8.5441 8.5441 8.5441 Å, 17.94 17.94 17.94°
With the nearest neighbours (Å) after each atom.
Fractional positions:
Co  0.0000  0.0000  0.0000  9 Co 2.46-2.67, 3 Ir 2.61
Co  0.2570  0.2570  0.2570  9 Co 2.46-2.67, 3 Rh 2.61
Ir  0.7502  0.7502  0.7502  3 Co 2.61, 6 Ir 2.67, 3 Rh 2.74
Rh  0.5067  0.5067  0.5067  3 Co 2.61, 6 Rh 2.67, 3 Ir 2.74